i | Below is a crystal of ScFeCl2 relaxed with PBEsol, with properties calculated at the SCAN level.

The structure in POSCAR format:
```
ScFeCl2
1.0
-2.2897 -1.5855 -1.4210
2.0507 -1.0811 -2.0980
1.3838 -5.9655 4.4265
Cl Sc Fe
2 1 1
direct
0.5000 0.5000 0.3427
0.0000 0.0000 0.9389
0.5000 0.5000 0.7310
0.0000 0.0000 0.4873
```

Calculated values
Calculated volume ... 18.47 A^3/atom
Mass density ... 3.9 g cm⁻³



ii | Below is a crystal of ScFeCl2 relaxed with PBEsol, with properties calculated at the SCAN level.

The structure in POSCAR format:
```
ScFeCl2
1.0
3.3323 0.0000 0.0000
0.0000 4.0437 0.0255
-1.6662 -0.3868 6.2232
Sc Fe Cl
1 1 2
direct
0.5000 0.0000 0.0000
0.0000 0.5000 0.0000
0.1443 0.2232 0.2886
0.8557 0.7768 0.7114
```

Calculated values
Calculated volume ... 20.97 A^3/atom
Mass density ... 3.4 g cm⁻³



iii | Below is a crystal of ScFeCl2 relaxed with PBEsol, with properties calculated at the SCAN level.

The structure in POSCAR format:
```
ScFeCl2
1.0
3.0883 0.0000 0.0000
0.0000 3.9616 0.0000
0.0000 0.0000 5.5434
Cl Sc Fe
2 1 1
direct
0.5000 0.0000 0.5000
0.0000 0.0000 0.0000
0.0000 0.5000 0.5000
0.5000 0.5000 0.0000
```

Calculated values
Calculated volume ... 16.96 A^3/atom
Mass density ... 4.2 g cm⁻³



Short version: i, ii, iii, most stable first.



i | Below is a crystal of SrFeCl2 relaxed with PBEsol, with properties calculated at the SCAN level.

The structure in POSCAR format:
```
SrFeCl2
1.0
4.1631 0.0000 -0.1618
0.0000 4.0498 0.0000
-1.9626 0.0000 5.2188
Sr Cl Fe
1 2 1
direct
0.4251 0.5000 0.8009
0.7208 0.5000 0.3977
0.0016 0.0000 0.9706
0.8525 0.0000 0.3309
```

Calculated values
Calculated volume ... 21.68 A^3/atom
Mass density ... 4.1 g cm⁻³



ii | Below is a crystal of SrFeCl2 relaxed with PBEsol, with properties calculated at the SCAN level.

The structure in POSCAR format:
```
SrFeCl2
1.0
-1.6435 4.2102 1.9878
-1.1735 0.1758 4.7894
2.8451 2.5203 3.1464
Fe Sr Cl
1 1 2
direct
0.5000 0.0000 0.0000
0.0000 0.5000 0.5000
0.7499 0.2501 0.2501
0.2501 0.7499 0.7499
```

Calculated values
Calculated volume ... 21.24 A^3/atom
Mass density ... 4.2 g cm⁻³



Short version: ii, i, most stable first.



i | Below is a crystal of Sr2FeCl relaxed with PBEsol, with properties calculated at the SCAN level.

The structure in POSCAR format:
```
Sr2FeCl
1.0
-2.4911 -2.6736 -1.6369
3.9477 -0.4750 -0.3345
-1.7449 -3.1089 7.7333
Sr Cl Fe
2 1 1
direct
0.2540 0.5079 0.2601
0.7460 0.4921 0.7399
0.5000 0.0000 0.0000
0.0000 0.0000 0.5000
```

Calculated values
Calculated volume ... 28.31 A^3/atom
Mass density ... 3.9 g cm⁻³



ii | Below is a crystal of Sr2FeCl relaxed with PBEsol, with properties calculated at the SCAN level.

The structure in POSCAR format:
```
Sr2FeCl
1.0
-0.2886 2.2178 3.1042
-3.5190 -1.3571 0.6423
3.3603 -6.4011 4.8857
Fe Cl Sr
1 1 2
direct
0.5000 0.5000 0.2574
0.0000 0.0000 0.5290
0.5000 0.5000 0.6537
0.0000 0.0000 0.0599
```

Calculated values
Calculated volume ... 31.93 A^3/atom
Mass density ... 3.5 g cm⁻³



iii | Below is a crystal of Sr2FeCl relaxed with PBEsol, with properties calculated at the SCAN level.

The structure in POSCAR format:
```
Sr2FeCl
1.0
3.9552 0.0000 0.0000
1.9776 3.4253 0.0000
1.9776 1.1418 7.9973
Cl Fe Sr
1 1 2
direct
0.5416 0.5416 0.3751
0.2082 0.2082 0.3755
0.7834 0.7834 0.6496
0.9667 0.9667 0.0998
```

Calculated values
Calculated volume ... 27.09 A^3/atom
Mass density ... 4.1 g cm⁻³



Short version: i, ii, iii, most stable first.



i | Below is a crystal of SrFe2Cl relaxed with PBEsol, with properties calculated at the SCAN level.

The structure in POSCAR format:
```
SrFe2Cl
1.0
-1.5742 1.4700 2.5303
-4.0035 -3.1443 -0.6641
2.2091 -3.5371 3.4295
Fe Sr Cl
2 1 1
direct
0.0000 0.0000 0.8036
0.0000 0.0000 0.1964
0.5000 0.5000 0.0000
0.5000 0.5000 0.5000
```

Calculated values
Calculated volume ... 23.03 A^3/atom
Mass density ... 4.2 g cm⁻³



ii | Below is a crystal of SrFe2Cl relaxed with PBEsol, with properties calculated at the SCAN level.

The structure in POSCAR format:
```
SrFe2Cl
1.0
3.2569 0.0000 0.0000
0.0000 3.2569 0.0000
0.0000 0.0000 7.6741
Fe Cl Sr
2 1 1
direct
0.5000 0.5000 0.1922
0.0000 0.0000 0.0921
0.5000 0.5000 0.7205
0.0000 0.0000 0.4952
```

Calculated values
Calculated volume ... 20.35 A^3/atom
Mass density ... 4.8 g cm⁻³



iii | Below is a crystal of SrFe2Cl relaxed with PBEsol, with properties calculated at the SCAN level.

The structure in POSCAR format:
```
SrFe2Cl
1.0
3.1923 0.0000 0.0000
0.0000 3.3074 0.0000
0.0000 -1.6537 7.0749
Cl Fe Sr
1 2 1
direct
0.5000 0.3038 0.6076
0.5000 0.5937 0.1874
0.0000 0.1553 0.3107
0.0000 0.9366 0.8731
```

Calculated values
Calculated volume ... 18.67 A^3/atom
Mass density ... 5.2 g cm⁻³



Short version: iii, ii, i, most stable first.